Run A
A plane-wave DFT calculation with PBE was carried out for an optimized crystal structure of Mg2MnCu2.

Values from the calculation:
- ρ: 5.217 g cm⁻³
- Crystal system: tetragonal
- Total magnetic moment: 0.26 μB per formula unit
- DOS(E_F): 1.133 states/eV per atom
- V: 147 Å³/cell

CIF file:
```
data_Mg2MnCu2
_symmetry_space_group_name_H-M 'P 4/m b m'
_symmetry_Int_Tables_number 127
_symmetry_space_group_name_Hall '-P 4 2ab'
_cell_length_a 7.353
_cell_length_b 7.353
_cell_length_c 2.716
_cell_angle_alpha 90.00
_cell_angle_beta 90.00
_cell_angle_gamma 90.00
loop_
_atom_site_label
_atom_site_fract_x
_atom_site_fract_y
_atom_site_fract_z
Mg1 0.144 0.356 0.000
Mn1 0.000 0.000 0.000
Cu1 0.156 0.656 0.500
```



Run B
A plane-wave DFT calculation with PBE was carried out for an optimized crystal structure of Mg2MnCu2.

Values from the calculation:
- ρ: 5.190 g cm⁻³
- Crystal system: tetragonal
- Total magnetic moment: 0.01 μB per formula unit
- DOS(E_F): 1.401 states/eV per atom
- V: 148 Å³/cell

CIF file:
```
data_Mg2MnCu2
_symmetry_space_group_name_H-M 'P 4/m b m'
_symmetry_Int_Tables_number 127
_symmetry_space_group_name_Hall '-P 4 2ab'
_cell_length_a 7.169
_cell_length_b 7.169
_cell_length_c 2.872
_cell_angle_alpha 90.00
_cell_angle_beta 90.00
_cell_angle_gamma 90.00
loop_
_atom_site_label
_atom_site_fract_x
_atom_site_fract_y
_atom_site_fract_z
Mg1 0.176 0.324 0.000
Mn1 0.000 0.000 0.500
Cu1 0.124 0.624 0.500
```



Top of the stability list: run B, leading by 81 meV per atom.



Run A
A plane-wave DFT calculation with PBE was carried out for an optimized crystal structure of MgCuMo3.

Values from the calculation:
- ρ: 6.567 g cm⁻³
- Crystal system: cubic
- Total magnetic moment: 0.00 μB per formula unit
- DOS(E_F): 1.153 states/eV per atom
- V: 95 Å³/cell

CIF file:
```
data_MgCuMo3
_symmetry_space_group_name_H-M 'P m -3 m'
_symmetry_Int_Tables_number 221
_symmetry_space_group_name_Hall '-P 4 2 3'
_cell_length_a 4.563
_cell_length_b 4.563
_cell_length_c 4.563
_cell_angle_alpha 90.00
_cell_angle_beta 90.00
_cell_angle_gamma 90.00
loop_
_atom_site_label
_atom_site_fract_x
_atom_site_fract_y
_atom_site_fract_z
Mg1 0.000 0.000 0.000
Cu1 0.500 0.500 0.500
Mo1 0.000 0.500 0.500
```



Run B
A plane-wave DFT calculation with PBE was carried out for an optimized crystal structure of MgCuMo3.

Values from the calculation:
- ρ: 6.646 g cm⁻³
- Crystal system: cubic
- Total magnetic moment: 0.00 μB per formula unit
- DOS(E_F): 1.536 states/eV per atom
- V: 94 Å³/cell

CIF file:
```
data_MgCuMo3
_symmetry_space_group_name_H-M 'P m -3 m'
_symmetry_Int_Tables_number 221
_symmetry_space_group_name_Hall '-P 4 2 3'
_cell_length_a 4.545
_cell_length_b 4.545
_cell_length_c 4.545
_cell_angle_alpha 90.00
_cell_angle_beta 90.00
_cell_angle_gamma 90.00
loop_
_atom_site_label
_atom_site_fract_x
_atom_site_fract_y
_atom_site_fract_z
Mg1 0.000 0.000 0.000
Cu1 0.500 0.500 0.500
Mo1 0.000 0.000 0.500
```



Top of the stability list: run A, leading by 828 meV per atom.



Run A
A plane-wave DFT calculation with PBE was carried out for an optimized crystal structure of MgCu2Mo.

Values from the calculation:
- ρ: 7.095 g cm⁻³
- Crystal system: monoclinic
- Total magnetic moment: 0.00 μB per formula unit
- DOS(E_F): 0.853 states/eV per atom
- V: 58 Å³/cell

CIF file:
```
data_MgCu2Mo
_symmetry_space_group_name_H-M 'P 1 m 1'
_symmetry_Int_Tables_number 6
_cell_length_a 2.649
_cell_length_b 4.254
_cell_length_c 5.283
_cell_angle_alpha 90.00
_cell_angle_beta 103.51
_cell_angle_gamma 90.00
loop_
_symmetry_equiv_pos_as_xyz
'x,y,z'
'x,-y,z'
loop_
_atom_site_label
_atom_site_fract_x
_atom_site_fract_y
_atom_site_fract_z
Mg1 0.000 0.000 0.000
Cu1 0.278 0.000 0.524
Cu2 0.396 0.500 0.805
Mo1 0.680 0.500 0.333
```



Run B
A plane-wave DFT calculation with PBE was carried out for an optimized crystal structure of MgCu2Mo.

Values from the calculation:
- ρ: 6.794 g cm⁻³
- Crystal system: monoclinic
- Total magnetic moment: 0.00 μB per formula unit
- DOS(E_F): 0.923 states/eV per atom
- V: 121 Å³/cell

CIF file:
```
data_MgCu2Mo
_symmetry_space_group_name_H-M 'C 1 2/m 1'
_symmetry_Int_Tables_number 12
_cell_length_a 8.735
_cell_length_b 2.654
_cell_length_c 5.249
_cell_angle_alpha 90.00
_cell_angle_beta 96.42
_cell_angle_gamma 90.00
loop_
_symmetry_equiv_pos_as_xyz
'x,y,z'
'-x,-y,-z'
'-x,y,-z'
'x,-y,z'
'x+1/2,y+1/2,z'
'-x+1/2,-y+1/2,-z'
'-x+1/2,y+1/2,-z'
'x+1/2,-y+1/2,z'
loop_
_atom_site_label
_atom_site_fract_x
_atom_site_fract_y
_atom_site_fract_z
Mg1 0.000 0.000 0.000
Cu1 0.248 0.000 0.725
Mo1 0.000 0.500 0.500
```



Run C
A plane-wave DFT calculation with PBE was carried out for an optimized crystal structure of MgCu2Mo.

Values from the calculation:
- ρ: 6.952 g cm⁻³
- Crystal system: orthorhombic
- Total magnetic moment: 0.00 μB per formula unit
- DOS(E_F): 0.616 states/eV per atom
- V: 59 Å³/cell

CIF file:
```
data_MgCu2Mo
_symmetry_space_group_name_H-M 'P m m m'
_symmetry_Int_Tables_number 47
_cell_length_a 2.724
_cell_length_b 4.596
_cell_length_c 4.719
_cell_angle_alpha 90.00
_cell_angle_beta 90.00
_cell_angle_gamma 90.00
loop_
_symmetry_equiv_pos_as_xyz
'x,y,z'
'-x,-y,-z'
'-x,-y,z'
'x,y,-z'
'x,-y,-z'
'-x,y,z'
'-x,y,-z'
'x,-y,z'
loop_
_atom_site_label
_atom_site_fract_x
_atom_site_fract_y
_atom_site_fract_z
Mg1 0.000 0.000 0.000
Cu1 0.000 0.500 0.500
Cu2 0.500 0.500 0.000
Mo1 0.500 0.000 0.500
```



Top of the stability list: run A, leading by 112 meV per atom.



Run A
A plane-wave DFT calculation with PBE was carried out for an optimized crystal structure of MgCu2Mo.

Values from the calculation:
- ρ: 7.012 g cm⁻³
- Crystal system: orthorhombic
- Total magnetic moment: 0.28 μB per formula unit
- DOS(E_F): 0.806 states/eV per atom
- V: 59 Å³/cell

CIF file:
```
data_MgCu2Mo
_symmetry_space_group_name_H-M 'P m m m'
_symmetry_Int_Tables_number 47
_cell_length_a 2.657
_cell_length_b 3.831
_cell_length_c 5.754
_cell_angle_alpha 90.00
_cell_angle_beta 90.00
_cell_angle_gamma 90.00
loop_
_symmetry_equiv_pos_as_xyz
'x,y,z'
'-x,-y,-z'
'-x,-y,z'
'x,y,-z'
'x,-y,-z'
'-x,y,z'
'-x,y,-z'
'x,-y,z'
loop_
_atom_site_label
_atom_site_fract_x
_atom_site_fract_y
_atom_site_fract_z
Mg1 0.000 0.000 0.000
Cu1 0.500 0.500 0.265
Mo1 0.000 0.000 0.500
```



Run B
A plane-wave DFT calculation with PBE was carried out for an optimized crystal structure of MgCu2Mo.

Values from the calculation:
- ρ: 7.078 g cm⁻³
- Crystal system: tetragonal
- Total magnetic moment: 0.00 μB per formula unit
- DOS(E_F): 0.626 states/eV per atom
- V: 58 Å³/cell

CIF file:
```
data_MgCu2Mo
_symmetry_space_group_name_H-M 'P 4 m m'
_symmetry_Int_Tables_number 99
_cell_length_a 2.752
_cell_length_b 2.752
_cell_length_c 7.664
_cell_angle_alpha 90.00
_cell_angle_beta 90.00
_cell_angle_gamma 90.00
loop_
_symmetry_equiv_pos_as_xyz
'x,y,z'
'-y,x,z'
'-x,-y,z'
'y,-x,z'
'-x,y,z'
'y,x,z'
'x,-y,z'
'-y,-x,z'
loop_
_atom_site_label
_atom_site_fract_x
_atom_site_fract_y
_atom_site_fract_z
Mg1 0.000 0.000 0.000
Cu1 0.000 0.000 0.536
Cu2 0.500 0.500 0.746
Mo1 0.500 0.500 0.291
```



Run C
A plane-wave DFT calculation with PBE was carried out for an optimized crystal structure of MgCu2Mo.

Values from the calculation:
- ρ: 7.061 g cm⁻³
- Crystal system: monoclinic
- Total magnetic moment: 0.22 μB per formula unit
- DOS(E_F): 1.019 states/eV per atom
- V: 116 Å³/cell

CIF file:
```
data_MgCu2Mo
_symmetry_space_group_name_H-M 'C 1 m 1'
_symmetry_Int_Tables_number 8
_cell_length_a 9.844
_cell_length_b 2.637
_cell_length_c 4.727
_cell_angle_alpha 90.00
_cell_angle_beta 108.54
_cell_angle_gamma 90.00
loop_
_symmetry_equiv_pos_as_xyz
'x,y,z'
'x,-y,z'
'x+1/2,y+1/2,z'
'x+1/2,-y+1/2,z'
loop_
_atom_site_label
_atom_site_fract_x
_atom_site_fract_y
_atom_site_fract_z
Mg1 0.000 0.000 0.000
Cu1 0.256 0.500 0.148
Cu2 0.468 0.000 0.488
Mo1 0.218 0.000 0.626
```



Run D
A plane-wave DFT calculation with PBE was carried out for an optimized crystal structure of MgCu2Mo.

Values from the calculation:
- ρ: 7.076 g cm⁻³
- Crystal system: orthorhombic
- Total magnetic moment: 0.56 μB per formula unit
- DOS(E_F): 0.831 states/eV per atom
- V: 116 Å³/cell

CIF file:
```
data_MgCu2Mo
_symmetry_space_group_name_H-M 'C m m m'
_symmetry_Int_Tables_number 65
_symmetry_space_group_name_Hall '-C 2 2'
_cell_length_a 5.784
_cell_length_b 7.618
_cell_length_c 2.635
_cell_angle_alpha 90.00
_cell_angle_beta 90.00
_cell_angle_gamma 90.00
loop_
_atom_site_label
_atom_site_fract_x
_atom_site_fract_y
_atom_site_fract_z
Mg1 0.000 0.000 0.000
Cu1 0.250 0.250 0.500
Mo1 0.000 0.500 0.000
```



Top of the stability list: run B, leading by 51 meV per atom.



Run A
A plane-wave DFT calculation with PBE was carried out for an optimized crystal structure of MgCu2Mo.

Values from the calculation:
- ρ: 6.966 g cm⁻³
- Crystal system: trigonal
- Total magnetic moment: 0.00 μB per formula unit
- DOS(E_F): 0.661 states/eV per atom
- V: 177 Å³/cell

CIF file:
```
data_MgCu2Mo
_symmetry_space_group_name_H-M 'R -3 m'
_symmetry_Int_Tables_number 166
_symmetry_space_group_name_Hall '-R 3 2"'
_cell_length_a 2.7518
_cell_length_b 2.7518
_cell_length_c 26.9702
_cell_angle_alpha 90.00
_cell_angle_beta 90.00
_cell_angle_gamma 120.00
loop_
_atom_site_label
_atom_site_fract_x
_atom_site_fract_y
_atom_site_fract_z
Mg1 0.0000 0.0000 0.0000
Cu1 0.0000 0.0000 0.2494
Mo1 0.0000 0.0000 0.5000
```



Run B
A plane-wave DFT calculation with PBE was carried out for an optimized crystal structure of MgCu2Mo.

Values from the calculation:
- ρ: 7.075 g cm⁻³
- Crystal system: tetragonal
- Total magnetic moment: 0.37 μB per formula unit
- DOS(E_F): 0.893 states/eV per atom
- V: 58 Å³/cell

CIF file:
```
data_MgCu2Mo
_symmetry_space_group_name_H-M 'P 4/m m m'
_symmetry_Int_Tables_number 123
_symmetry_space_group_name_Hall '-P 4 2'
_cell_length_a 4.619
_cell_length_b 4.619
_cell_length_c 2.721
_cell_angle_alpha 90.00
_cell_angle_beta 90.00
_cell_angle_gamma 90.00
loop_
_atom_site_label
_atom_site_fract_x
_atom_site_fract_y
_atom_site_fract_z
Mg1 0.000 0.000 0.000
Cu1 0.000 0.500 0.500
Mo1 0.500 0.500 0.000
```



Run C
A plane-wave DFT calculation with PBE was carried out for an optimized crystal structure of MgCu2Mo.

Values from the calculation:
- ρ: 6.874 g cm⁻³
- Crystal system: orthorhombic
- Total magnetic moment: 0.00 μB per formula unit
- DOS(E_F): 0.805 states/eV per atom
- V: 119 Å³/cell

CIF file:
```
data_MgCu2Mo
_symmetry_space_group_name_H-M 'I m m m'
_symmetry_Int_Tables_number 71
_symmetry_space_group_name_Hall '-I 2 2'
_cell_length_a 2.679
_cell_length_b 4.784
_cell_length_c 9.324
_cell_angle_alpha 90.00
_cell_angle_beta 90.00
_cell_angle_gamma 90.00
loop_
_atom_site_label
_atom_site_fract_x
_atom_site_fract_y
_atom_site_fract_z
Mg1 0.000 0.000 0.000
Cu1 0.000 0.500 0.248
Mo1 0.000 0.000 0.500
```



Run D
A plane-wave DFT calculation with PBE was carried out for an optimized crystal structure of MgCu2Mo.

Values from the calculation:
- ρ: 6.995 g cm⁻³
- Crystal system: tetragonal
- Total magnetic moment: 1.84 μB per formula unit
- DOS(E_F): 0.519 states/eV per atom
- V: 117 Å³/cell

CIF file:
```
data_MgCu2Mo
_symmetry_space_group_name_H-M 'I -4 m 2'
_symmetry_Int_Tables_number 119
_symmetry_space_group_name_Hall 'I -4 -2'
_cell_length_a 3.898
_cell_length_b 3.898
_cell_length_c 7.728
_cell_angle_alpha 90.00
_cell_angle_beta 90.00
_cell_angle_gamma 90.00
loop_
_atom_site_label
_atom_site_fract_x
_atom_site_fract_y
_atom_site_fract_z
Mg1 0.000 0.000 0.000
Cu1 0.000 0.000 0.500
Cu2 0.000 0.500 0.250
Mo1 0.000 0.500 0.750
```



Top of the stability list: run B, leading by 19 meV per atom.



Run A
A plane-wave DFT calculation with PBE was carried out for an optimized crystal structure of MgCu2Mo.

Values from the calculation:
- ρ: 7.104 g cm⁻³
- Crystal system: tetragonal
- Total magnetic moment: 0.00 μB per formula unit
- DOS(E_F): 0.576 states/eV per atom
- V: 58 Å³/cell

CIF file:
```
data_MgCu2Mo
_symmetry_space_group_name_H-M 'P 4/m m m'
_symmetry_Int_Tables_number 123
_symmetry_space_group_name_Hall '-P 4 2'
_cell_length_a 2.753
_cell_length_b 2.753
_cell_length_c 7.628
_cell_angle_alpha 90.00
_cell_angle_beta 90.00
_cell_angle_gamma 90.00
loop_
_atom_site_label
_atom_site_fract_x
_atom_site_fract_y
_atom_site_fract_z
Mg1 0.000 0.000 0.000
Cu1 0.500 0.500 0.253
Mo1 0.000 0.000 0.500
```



Run B
A plane-wave DFT calculation with PBE was carried out for an optimized crystal structure of MgCu2Mo.

Values from the calculation:
- ρ: 7.053 g cm⁻³
- Crystal system: cubic
- Total magnetic moment: 1.89 μB per formula unit
- DOS(E_F): 1.020 states/eV per atom
- V: 233 Å³/cell

CIF file:
```
data_MgCu2Mo
_symmetry_space_group_name_H-M 'F -4 3 m'
_symmetry_Int_Tables_number 216
_symmetry_space_group_name_Hall 'F -4 2 3'
_cell_length_a 6.153
_cell_length_b 6.153
_cell_length_c 6.153
_cell_angle_alpha 90.00
_cell_angle_beta 90.00
_cell_angle_gamma 90.00
loop_
_atom_site_label
_atom_site_fract_x
_atom_site_fract_y
_atom_site_fract_z
Mg1 0.000 0.000 0.000
Cu1 0.000 0.000 0.500
Cu2 0.250 0.250 0.750
Mo1 0.250 0.250 0.250
```



Top of the stability list: run A, leading by 340 meV per atom.